# 1
VASP calculation (PBE-GGA) on crystalline ZrNiPdPb at its relaxed geometry.

POSCAR file:
```
ZrNiPdPb
1.0
0.000 3.284 3.284
3.284 0.000 3.284
3.284 3.284 0.000
Zr Ni Pd Pb
1 1 1 1
Direct
0.000 0.000 0.000
0.750 0.750 0.750
0.250 0.250 0.250
0.500 0.500 0.500
```

## Properties
As for the total energy: -6.09 eV/atom.


# 2
VASP calculation (PBE-GGA) on crystalline Pm12Ni6Pb at its relaxed geometry.

POSCAR file:
```
Pm12Ni6Pb
1.0
-5.001 5.001 5.001
5.001 -5.001 5.001
5.001 5.001 -5.001
Pm Ni Pb
12 6 1
Direct
0.120 0.307 0.813
0.187 0.494 0.307
0.187 0.880 0.693
0.307 0.187 0.494
0.307 0.813 0.120
0.494 0.307 0.187
0.506 0.693 0.813
0.693 0.187 0.880
0.693 0.813 0.506
0.813 0.120 0.307
0.813 0.506 0.693
0.880 0.693 0.187
0.121 0.500 0.621
0.379 0.879 0.500
0.500 0.379 0.879
0.500 0.621 0.121
0.621 0.121 0.500
0.879 0.500 0.379
0.000 0.000 0.000
```

## Properties
As for the total energy: -5.26 eV/atom.